#one
The following is a DFT calculation (PBE-GGA) of an optimized crystal structure of CoPtW2.

a = 4.678 Å, b = 4.678 Å, c = 4.868 Å
α = 99.03°, β = 99.03°, γ = 33.90°
Fractional coordinates of all 4 atoms:
Co: 0.000 0.000 0.000
Pt: 0.249 0.249 0.725
W: 0.497 0.497 0.491
W: 0.741 0.741 0.198

symmetry	Cm (8)
calculated volume	59	Å³/f.u.

***

#two
The following is a DFT calculation (PBE-GGA) of an optimized crystal structure of CoPtW2.

a = 2.713 Å, b = 3.926 Å, c = 5.445 Å
α = 90.00°, β = 90.31°, γ = 90.00°
Fractional coordinates of all 4 atoms:
Co: 0.000 0.000 0.000
Pt: 0.000 0.000 0.500
W: 0.496 0.500 0.235
W: 0.504 0.500 0.765

symmetry	P2/m (10)
calculated volume	58	Å³/f.u.

***

Computed relative energies in units of meV/atom: #one 74; #two 0